[1]
16
Lattice="8.510 0.000 0.000 0.000 9.694 0.831 -4.255 -4.254 6.020" Properties=species:S:1:pos:R:3 comment="Cs4Ho3PaSe8 PBE-GGA relaxed" density_g_cm3=5.955 dft_energy_ev_per_atom=-5.004 raw_formation_energy_kj_per_mol_atoms=-154.1 n_ef_per_ev_atom=0.5940 pbc="T T T"
Cs 4.255 0.000 0.000
Cs 2.128 -2.127 3.010
Cs 0.000 0.000 0.000
Cs -2.128 -2.127 3.010
Ho 4.255 4.847 0.416
Ho 2.128 2.720 3.425
Ho -2.128 2.720 3.425
Pa 0.000 4.847 0.416
Se -2.118 2.584 6.331
Se 0.000 4.702 3.334
Se 0.000 0.747 3.535
Se 2.118 2.584 6.331
Se 2.137 2.857 0.520
Se 4.255 4.694 3.316
Se 4.255 0.739 3.517
Se 6.373 2.857 0.520

=====

[2]
11
Lattice="-4.804 -0.022 -2.667 2.983 -4.595 0.417 -2.079 0.148 5.470" Properties=species:S:1:pos:R:3 comment="Na2MgSn2O6 PBE-GGA relaxed" density_g_cm3=4.600 dft_energy_ev_per_atom=-5.700 raw_formation_energy_kj_per_mol_atoms=-181.7 n_ef_per_ev_atom=0.0000 pbc="T T T"
Na -3.540 -0.765 -2.166
Na 1.718 -3.853 -0.083
Mg -1.040 0.074 2.735
Sn -0.668 -2.988 2.118
Sn -3.233 -1.481 1.102
O -2.764 -3.268 2.131
O -0.513 -1.751 3.844
O -1.137 -1.201 1.089
O -3.227 -0.157 2.769
O -3.388 -2.719 -0.624
O -0.674 -4.313 0.451

=====

[3]
8
Lattice="4.762 0.000 0.000 2.381 4.124 0.000 2.381 1.375 7.671" Properties=species:S:1:pos:R:3 comment="Li4CaZn2Cd PBE-GGA relaxed" density_g_cm3=3.429 dft_energy_ev_per_atom=-1.763 ef_ev_per_atom=-0.1230 n_ef_per_ev_atom=0.2209 pbc="T T T"
Li 4.762 2.749 6.473
Li 7.143 4.124 3.138
Li 2.381 1.375 4.533
Li 4.762 2.749 1.199
Ca 0.000 0.000 0.000
Zn 7.143 4.124 5.860
Zn 2.381 1.375 1.811
Cd 4.762 2.749 3.836

=====

[4]
4
Lattice="-1.025 -2.496 5.546 5.712 -2.197 -0.765 1.531 3.355 1.793" Properties=species:S:1:pos:R:3 comment="Ba2LaCu PBE-GGA relaxed" density_g_cm3=5.117 dft_energy_ev_per_atom=-2.878 ef_ev_per_atom=0.3391 de_polymorph_mev_per_atom=297.1 n_ef_per_ev_atom=1.2325 pbc="T T T"
Ba 0.000 0.000 0.000
Ba 2.344 -2.346 2.391
Cu 0.253 0.429 3.670
La 3.621 0.579 0.514